No. 1
The following is a PBE calculation of Na2GePtO4 after structural relaxation, from Alexandria. Values from VASP.

Structure (Quantum ESPRESSO input):
```
&SYSTEM
  ibrav = 0, nat = 8, ntyp = 4
/
ATOMIC_SPECIES
Na 22.99 Na.upf
Ge 72.64 Ge.upf
Pt 195.08 Pt.upf
O 16.00 O.upf
ATOMIC_POSITIONS angstrom
Na -2.621 -1.738 1.007
Na 0.000 0.000 0.000
Ge 0.528 -2.709 1.212
Pt 0.470 -0.124 3.267
O -1.473 -0.416 2.581
O 1.266 -1.103 1.612
O -3.821 1.313 1.734
O -0.275 -3.519 2.620
CELL_PARAMETERS angstrom
-3.208 3.556 1.849
-2.563 -4.323 -1.048
3.620 -1.095 3.472
```

Calculated values
formation energy from raw total energies: -1298 meV/atom
volume: 13.02 Å³/atom
spin magnetization: 0.0 μB/cell

---

No. 2
The following is a PBE calculation of Rb2SrCuCl6 after structural relaxation, from Alexandria. Values from VASP.

Structure (Quantum ESPRESSO input):
```
&SYSTEM
  ibrav = 0, nat = 10, ntyp = 4
/
ATOMIC_SPECIES
Rb 85.47 Rb.upf
Sr 87.62 Sr.upf
Cu 63.55 Cu.upf
Cl 35.45 Cl.upf
ATOMIC_POSITIONS angstrom
Rb 2.256 6.108 3.366
Rb 0.897 2.430 1.339
Sr 0.711 -2.046 3.235
Cu 2.287 2.223 5.588
Cl -1.462 -0.688 2.229
Cl 0.114 3.581 4.581
Cl 2.173 -1.357 1.007
Cl 3.750 2.911 3.359
Cl 2.971 4.074 6.607
Cl 1.604 0.373 4.568
CELL_PARAMETERS angstrom
-2.924 -1.376 4.457
4.346 -2.715 2.013
3.153 8.537 4.705
```

Calculated values
formation energy from raw total energies: -1624 meV/atom
DOS(E_F): 0.240 states/eV/atom
volume: 31.06 Å³/atom
spin magnetization: 0.9 μB/cell

---

No. 3
The following is a PBE calculation of RbSb5 after structural relaxation, from Alexandria. Values from VASP.

Structure (Quantum ESPRESSO input):
```
&SYSTEM
  ibrav = 0, nat = 6, ntyp = 2
/
ATOMIC_SPECIES
Sb 121.76 Sb.upf
Rb 85.47 Rb.upf
ATOMIC_POSITIONS angstrom
Sb 0.000 3.048 2.291
Sb 0.000 0.000 5.628
Sb 2.052 3.048 0.000
Sb 2.052 0.000 3.453
Sb 2.052 3.048 4.466
Rb 0.000 0.000 0.000
CELL_PARAMETERS angstrom
4.104 0.000 0.000
0.000 6.097 0.000
0.000 -3.048 7.919
```

Calculated values
formation energy from raw total energies: 36 meV/atom
DOS(E_F): 0.457 states/eV/atom
volume: 33.03 Å³/atom
spin magnetization: 0.0 μB/cell

---

No. 4
The following is a PBE calculation of ErAgAu after structural relaxation, from Alexandria. Values from VASP.

Structure (Quantum ESPRESSO input):
```
&SYSTEM
  ibrav = 0, nat = 12, ntyp = 3
/
ATOMIC_SPECIES
Au 196.97 Au.upf
Ag 107.87 Ag.upf
Er 167.26 Er.upf
ATOMIC_POSITIONS angstrom
Au -6.743 -0.875 4.115
Au -6.278 2.025 2.977
Au -2.609 2.483 -0.516
Au -3.075 -0.417 0.622
Ag -5.778 -1.430 1.448
Ag -4.413 1.238 -2.699
Ag -3.574 3.039 2.151
Ag -4.939 0.370 6.298
Er -4.841 -1.925 -1.447
Er -5.348 1.340 0.217
Er -4.511 3.533 5.046
Er -4.005 0.268 3.382
CELL_PARAMETERS angstrom
-2.336 4.236 -1.782
-4.107 -3.140 -2.920
-2.909 0.512 8.301
```

Calculated values
excess energy over the best structure of this formula in the dataset: 97 meV per atom
ΔE_f: -1.6 eV/f.u.
DOS(E_F): 0.403 states/eV/atom
volume: 21.48 Å³/atom
spin magnetization: 0.0 μB/cell

---

No. 5
The following is a PBE calculation of RbSrGaPt2 after structural relaxation, from Alexandria. Values from VASP.

Structure (Quantum ESPRESSO input):
```
&SYSTEM
  ibrav = 0, nat = 5, ntyp = 4
/
ATOMIC_SPECIES
Sr 87.62 Sr.upf
Ga 69.72 Ga.upf
Rb 85.47 Rb.upf
Pt 195.08 Pt.upf
ATOMIC_POSITIONS angstrom
Sr -1.356 -0.472 -2.434
Ga -2.913 -3.623 -0.956
Rb 0.000 0.000 0.000
Pt 0.702 -2.600 0.113
Pt -2.259 -0.550 1.365
CELL_PARAMETERS angstrom
-4.517 -1.101 2.730
-2.712 -0.944 -4.868
1.404 -5.201 0.226
```

Calculated values
ΔE_f: 6.3 eV/f.u.
DOS(E_F): 1.068 states/eV/atom
volume: 32.86 Å³/atom
spin magnetization: 0.0 μB/cell

---

No. 6
The following is a PBE calculation of Co3SiSe after structural relaxation, from Alexandria. Values from VASP.

Structure (Quantum ESPRESSO input):
```
&SYSTEM
  ibrav = 0, nat = 5, ntyp = 3
/
ATOMIC_SPECIES
Si 28.09 Si.upf
Co 58.93 Co.upf
Se 78.96 Se.upf
ATOMIC_POSITIONS angstrom
Si 0.000 0.000 0.000
Co 0.000 2.115 0.000
Co 0.000 0.000 2.115
Co 2.115 0.000 0.000
Se 2.115 2.115 2.115
CELL_PARAMETERS angstrom
4.230 0.000 0.000
0.000 4.230 0.000
0.000 0.000 4.230
```

Calculated values
formation energy from raw total energies: 634 meV/atom
excess energy over the best structure of this formula in the dataset: 0 meV per atom
DOS(E_F): 0.925 states/eV/atom
volume: 15.13 Å³/atom
spin magnetization: 2.9 μB/cell

---

No. 7
The following is a PBE calculation of TaHRu after structural relaxation, from Alexandria. Values from VASP.

Structure (Quantum ESPRESSO input):
```
&SYSTEM
  ibrav = 0, nat = 6, ntyp = 3
/
ATOMIC_SPECIES
Ru 101.07 Ru.upf
H 1.01 H.upf
Ta 180.95 Ta.upf
ATOMIC_POSITIONS angstrom
Ru 0.000 4.253 1.889
Ru 0.000 1.932 3.588
H 0.000 3.086 4.920
H 0.000 1.070 0.451
Ta 1.539 4.192 4.135
Ta 1.539 2.102 1.325
CELL_PARAMETERS angstrom
3.078 0.000 0.000
0.000 4.460 0.226
-1.539 -0.277 5.167
```

Calculated values
excess energy over the best structure of this formula in the dataset: 8 meV per atom
DOS(E_F): 0.339 states/eV/atom
volume: 11.85 Å³/atom
spin magnetization: 0.0 μB/cell

---

No. 8
The following is a PBE calculation of LiTmNbOs after structural relaxation, from Alexandria. Values from VASP.

Structure (Quantum ESPRESSO input):
```
&SYSTEM
  ibrav = 0, nat = 4, ntyp = 4
/
ATOMIC_SPECIES
Nb 92.91 Nb.upf
Tm 168.93 Tm.upf
Os 190.23 Os.upf
Li 6.94 Li.upf
ATOMIC_POSITIONS angstrom
Nb 0.000 0.000 0.000
Tm 1.423 -4.485 -3.190
Os 0.711 -2.242 -1.595
Li 2.134 -6.727 -4.785
CELL_PARAMETERS angstrom
-0.121 -1.800 -4.276
3.530 -2.599 -1.525
-0.563 -4.571 -0.578
```

Calculated values
ΔE_f: -0.4 eV/f.u.
DOS(E_F): 0.548 states/eV/atom
volume: 17.68 Å³/atom
spin magnetization: 0.0 μB/cell

---

No. 9
The following is a PBE calculation of Cd2HgBr after structural relaxation, from Alexandria. Values from VASP.

Structure (Quantum ESPRESSO input):
```
&SYSTEM
  ibrav = 0, nat = 4, ntyp = 3
/
ATOMIC_SPECIES
Cd 112.41 Cd.upf
Hg 200.59 Hg.upf
Br 79.90 Br.upf
ATOMIC_POSITIONS angstrom
Cd 1.942 1.121 6.282
Cd 1.942 1.121 1.948
Hg 5.826 3.364 8.245
Br 3.884 2.243 4.231
CELL_PARAMETERS angstrom
3.884 0.000 0.000
1.942 3.364 0.000
1.942 1.121 8.282
```

Calculated values
formation energy from raw total energies: -189 meV/atom
excess energy over the best structure of this formula in the dataset: 17 meV per atom
DOS(E_F): 0.439 states/eV/atom
volume: 27.06 Å³/atom
spin magnetization: 0.0 μB/cell

---

No. 10
The following is a PBE calculation of Cs3Pd5Cl12 after structural relaxation, from Alexandria. Values from VASP.

Structure (Quantum ESPRESSO input):
```
&SYSTEM
  ibrav = 0, nat = 80, ntyp = 3
/
ATOMIC_SPECIES
Cs 132.91 Cs.upf
Pd 106.42 Pd.upf
Cl 35.45 Cl.upf
ATOMIC_POSITIONS angstrom
Cs -3.043 2.122 -8.837
Cs -0.899 -0.501 -12.680
Cs -2.886 -8.239 -3.954
Cs -4.424 -1.483 -0.318
Cs -7.053 4.904 -7.283
Cs -0.026 -4.530 -6.028
Cs -8.654 -3.098 -2.714
Cs -1.627 -12.532 -1.459
Cs -4.256 -6.145 -8.424
Cs -5.794 0.611 -4.788
Cs -7.781 -7.127 3.938
Cs -5.637 -9.750 0.095
Pd -0.413 -4.266 -1.872
Pd 3.901 -4.981 -3.529
Pd 0.000 0.000 0.000
Pd -1.673 0.028 -4.367
Pd -8.241 1.168 -0.842
Pd 0.774 -0.529 -8.313
Pd 1.234 -8.823 -3.533
Pd -12.665 -0.315 -1.159
Pd -3.650 -2.012 -8.630
Pd -9.041 -2.834 1.443
Pd 0.361 -4.794 -10.185
Pd -4.340 -3.814 -4.371
Pd -3.127 4.453 -4.784
Pd -5.114 -3.285 3.942
Pd -5.030 -5.616 -0.111
Pd 3.985 -7.313 -7.582
Pd -1.213 -8.267 0.413
Pd -9.914 1.195 -5.209
Pd -7.007 -7.655 -4.375
Pd -8.267 -3.362 -6.870
Cl -13.704 -1.508 0.719
Cl -2.238 -4.753 -3.441
Cl -0.160 -6.134 -0.299
Cl -2.738 2.049 -5.267
Cl -5.271 -6.031 -4.989
Cl 2.846 -7.114 -2.819
Cl 0.105 -8.083 -5.585
Cl 5.576 -8.938 -6.658
Cl -10.661 0.868 -0.375
Cl -1.522 -0.913 -9.175
Cl -5.365 -0.301 -8.226
Cl -8.330 -8.237 -6.361
Cl -0.438 -9.166 -1.768
Cl -0.195 -0.951 -6.066
Cl 2.422 -10.929 -3.961
Cl -7.977 -1.152 0.004
Cl -0.930 -2.217 -0.620
Cl 1.162 -2.933 -8.798
Cl -1.270 -3.960 -11.820
Cl 1.675 -3.958 -3.127
Cl -10.935 -1.820 2.633
Cl -3.372 -3.390 -6.618
Cl -4.340 -3.442 -10.503
Cl -12.037 -1.933 -2.898
Cl -5.308 -4.238 -2.124
Cl -4.340 -4.186 1.761
Cl 3.357 -5.695 -5.844
Cl -7.410 -3.668 3.078
Cl 2.255 -5.808 -11.374
Cl -10.355 -3.670 -5.614
Cl -9.842 -4.695 0.056
Cl -0.703 -6.476 -8.746
Cl -7.750 -5.411 -8.122
Cl -11.102 3.301 -4.780
Cl -8.242 1.538 -6.974
Cl -0.350 0.609 -2.381
Cl -8.485 -6.677 -2.675
Cl 1.981 -8.496 -8.366
Cl -7.158 -6.715 0.433
Cl -3.315 -7.327 -0.516
Cl -14.256 1.311 -2.084
Cl -8.785 0.455 -3.157
Cl -5.942 -9.677 -3.474
Cl -11.526 -0.514 -5.923
Cl -3.409 -1.597 -3.752
Cl -8.520 -1.494 -8.443
Cl -6.442 -2.875 -5.300
Cl 5.024 -6.120 -9.461
CELL_PARAMETERS angstrom
-6.253 8.906 -9.567
7.802 -9.963 -7.058
-10.228 -6.571 7.884
```

Calculated values
formation energy from raw total energies: -779 meV/atom
DOS(E_F): 0.633 states/eV/atom
volume: 29.27 Å³/atom
spin magnetization: 4.9 μB/cell